Entry from Alexandria: a relaxed structure of ZnCoSiO4 (PBE with a Hubbard U).

Results
Final energy   -6.39 eV per atom
Total moment   0.43 μB/atom
V   150.4 Å³ per cell
Crystal system   orthorhombic

Cell lengths 5.154, 5.154, 6.164 Å; angles 90.00, 90.00, 113.30 degrees
Fractional coordinates of all 14 atoms:
1 Zn 0.166 0.834 0.750
2 Zn 0.834 0.166 0.250
3 Co 0.500 0.500 0.000
4 Co 0.500 0.500 0.500
5 Si 0.149 0.851 0.250
6 Si 0.851 0.149 0.750
7 O 0.203 0.256 0.750
8 O 0.256 0.203 0.250
9 O 0.261 0.739 0.035
10 O 0.261 0.739 0.465
11 O 0.739 0.261 0.535
12 O 0.739 0.261 0.965
13 O 0.744 0.797 0.750
14 O 0.797 0.744 0.250